Record 1
Here is an optimized crystal structure of TaCoSi2 from Alexandria. Energies are from PBE.

The space group is F-43m (No. 216) and the conventional cell measures 6.0637, 6.0637 and 6.0637 Å, with angles of 90.00, 90.00 and 90.00 degrees. The distinct sites, in fractional coordinates, are Ta at (0.0000, 0.0000, 0.0000), Co at (0.2500, 0.2500, 0.2500), Si at (0.0000, 0.0000, 0.5000) and Si at (0.2500, 0.2500, 0.7500).

As for the total moment: 1.28 μB/f.u. Its crystal system is cubic. For the density of states at the Fermi level, the calculation gives 1.016 states/eV/atom. The calculated volume comes out at 13.93 Å³ per atom. The value obtained for the uncorrected formation energy is 12 kJ per mole of atoms. Its electronic total energy is -7.324 eV/atom.

---

Record 2
Here is an optimized crystal structure of Er2Si2SnRu5 from Alexandria. Energies are from PBE.

The space group is P4/mbm (No. 127) and the conventional cell measures 10.0603, 10.0603 and 3.2589 Å, with angles of 90.00, 90.00 and 90.00 degrees. The distinct sites, in fractional coordinates, are Er at (0.1740, 0.3260, 0.0000), Si at (0.1251, 0.6251, 0.0000), Sn at (0.0000, 0.0000, 0.0000), Ru at (0.0000, 0.5000, 0.5000) and Ru at (0.0685, 0.7874, 0.5000).

As for the total moment: 0.00 μB/f.u. Its crystal system is tetragonal. For the density of states at the Fermi level, the calculation gives 0.399 states/eV/atom. The calculated volume comes out at 16.49 Å³ per atom. The value obtained for the uncorrected formation energy is -65 kJ per mole of atoms. Its electronic total energy is -7.708 eV/atom.

---

Record 3
Here is an optimized crystal structure of ScZn2Re from Alexandria. Energies are from PBE.

The space group is P4/mmm (No. 123) and the conventional cell measures 3.9234, 3.9234 and 4.1200 Å, with angles of 90.00, 90.00 and 90.00 degrees. The distinct sites, in fractional coordinates, are Sc at (0.0000, 0.0000, 0.0000), Zn at (0.0000, 0.5000, 0.5000) and Re at (0.5000, 0.5000, 0.0000).

As for the total moment: 0.35 μB/f.u. The calculation puts the energy relative to the elements at 0.0 eV/f.u. Its crystal system is tetragonal. For the density of states at the Fermi level, the calculation gives 0.595 states/eV/atom. The calculated volume comes out at 15.85 Å³ per atom. The energy above the most stable polymorph in this dataset comes out at 92 meV/atom. Its electronic total energy is -5.327 eV/atom.

---

Record 4
Here is an optimized crystal structure of PmTmAgHg from Alexandria. Energies are from PBE.

The space group is F-43m (No. 216) and the conventional cell measures 7.4071, 7.4071 and 7.4071 Å, with angles of 90.00, 90.00 and 90.00 degrees. The distinct sites, in fractional coordinates, are Pm at (0.0000, 0.0000, 0.0000), Tm at (0.0000, 0.0000, 0.5000), Ag at (0.2500, 0.2500, 0.7500) and Hg at (0.2500, 0.2500, 0.2500).

As for the total moment: 0.00 μB/f.u. The calculation puts the energy relative to the elements at -1.5 eV/f.u. Its crystal system is cubic. For the density of states at the Fermi level, the calculation gives 0.902 states/eV/atom. The calculated volume comes out at 25.40 Å³ per atom. The energy above the most stable polymorph in this dataset comes out at 3 meV/atom. Its electronic total energy is -3.479 eV/atom.

---

Record 5
Here is an optimized crystal structure of Ag12H3Se5 from Alexandria. Energies are from PBE.

The space group is Ia-3d (No. 230) and the conventional cell measures 14.7928, 14.7928 and 14.7928 Å, with angles of 90.00, 90.00 and 90.00 degrees. The distinct sites, in fractional coordinates, are Ag at (0.0212, 0.1017, 0.6451), H at (0.0000, 0.2500, 0.1250), Se at (0.0000, 0.0000, 0.0000) and Se at (0.0000, 0.2500, 0.3750).

As for the total moment: 0.00 μB/f.u. Its crystal system is cubic. For the density of states at the Fermi level, the calculation gives 0.621 states/eV/atom. The calculated volume comes out at 20.23 Å³ per atom. Its electronic total energy is -2.849 eV/atom.

---

Record 6
Here is an optimized crystal structure of Ba2ScBr from Alexandria. Energies are from PBE.

The space group is Fm-3m (No. 225) and the conventional cell measures 8.7629, 8.7629 and 8.7629 Å, with angles of 90.00, 90.00 and 90.00 degrees. The distinct sites, in fractional coordinates, are Ba at (0.2500, 0.2500, 0.2500), Sc at (0.0000, 0.0000, 0.0000) and Br at (0.0000, 0.0000, 0.5000).

As for the total moment: 1.61 μB/f.u. Its crystal system is cubic. For the density of states at the Fermi level, the calculation gives 3.316 states/eV/atom. The calculated volume comes out at 42.06 Å³ per atom. The energy above the most stable polymorph in this dataset comes out at 431 meV/atom. The value obtained for the uncorrected formation energy is -7 kJ per mole of atoms. Its electronic total energy is -3.038 eV/atom.

---

Record 7
Here is an optimized crystal structure of SmS2O8 from Alexandria. Energies are from PBE.

The space group is C2/m (No. 12) and the conventional cell measures 9.8308, 5.4588 and 5.7639 Å, with angles of 90.00, 110.01 and 90.00 degrees. The distinct sites, in fractional coordinates, are Sm at (0.0000, 0.0000, 0.0000), S at (0.2011, 0.0000, 0.6919), O at (0.1394, 0.5000, 0.2098), O at (0.1405, 0.2178, 0.7806) and O at (0.1514, 0.0000, 0.4173).

As for the total moment: 1.09 μB/f.u. Its crystal system is monoclinic. For the density of states at the Fermi level, the calculation gives 0.605 states/eV/atom. The calculated volume comes out at 13.21 Å³ per atom. The value obtained for the uncorrected formation energy is -161 kJ per mole of atoms. Its electronic total energy is -6.459 eV/atom.

---

Record 8
Here is an optimized crystal structure of GdZn2Cu from Alexandria. Energies are from PBE.

The space group is Fm-3m (No. 225) and the conventional cell measures 6.5884, 6.5884 and 6.5884 Å, with angles of 90.00, 90.00 and 90.00 degrees. The distinct sites, in fractional coordinates, are Gd at (0.0000, 0.0000, 0.0000), Zn at (0.2500, 0.2500, 0.2500) and Cu at (0.0000, 0.0000, 0.5000).

As for the total moment: 7.15 μB/f.u. The calculation puts the energy relative to the elements at -0.8 eV/f.u. Its crystal system is cubic. For the density of states at the Fermi level, the calculation gives 0.558 states/eV/atom. The calculated volume comes out at 17.87 Å³ per atom. Its electronic total energy is -5.375 eV/atom.

---

Record 9
Here is an optimized crystal structure of Cu2IrPdI from Alexandria. Energies are from PBE.

The space group is P4/mmm (No. 123) and the conventional cell measures 4.6039, 4.6039 and 5.0355 Å, with angles of 90.00, 90.00 and 90.00 degrees. The distinct sites, in fractional coordinates, are Cu at (0.0000, 0.5000, 0.0000), Ir at (0.0000, 0.0000, 0.5000), Pd at (0.5000, 0.5000, 0.0000) and I at (0.5000, 0.5000, 0.5000).

As for the total moment: 0.00 μB/f.u. Its crystal system is tetragonal. For the density of states at the Fermi level, the calculation gives 0.660 states/eV/atom. The calculated volume comes out at 21.35 Å³ per atom. The value obtained for the uncorrected formation energy is 135 kJ per mole of atoms. Its electronic total energy is -3.362 eV/atom.

---

Record 10
Here is an optimized crystal structure of Y4Ir2Rh from Alexandria. Energies are from PBE.

The space group is R-3m (No. 166, hexagonal axes) and the conventional cell measures 4.8276, 4.8276 and 23.7366 Å, with angles of 90.00, 90.00 and 120.00 degrees. The distinct sites, in fractional coordinates, are Y at (0.0000, 0.0000, 0.1235), Y at (0.0000, 0.0000, 0.3742), Ir at (0.0000, 0.0000, 0.2498) and Rh at (0.0000, 0.0000, 0.5000).

As for the total moment: 0.00 μB/f.u. The calculation puts the energy relative to the elements at -5.6 eV/f.u. Its crystal system is trigonal. For the density of states at the Fermi level, the calculation gives 0.505 states/eV/atom. The calculated volume comes out at 22.81 Å³ per atom. Its electronic total energy is -8.081 eV/atom.

---

Record 11
Here is an optimized crystal structure of InAu from Alexandria. Energies are from PBE.

The space group is I4/m (No. 87) and the conventional cell measures 10.5461, 10.5461 and 3.4722 Å, with angles of 90.00, 90.00 and 90.00 degrees. The distinct sites, in fractional coordinates, are In at (0.1317, 0.6572, 0.0000) and Au at (0.0725, 0.1724, 0.0000).

As for the total moment: 0.00 μB/f.u. The calculation puts the energy relative to the elements at -0.1 eV/f.u. Its crystal system is tetragonal. For the density of states at the Fermi level, the calculation gives 0.404 states/eV/atom. The calculated volume comes out at 24.14 Å³ per atom. Its electronic total energy is -3.072 eV/atom.

---

Record 12
Here is an optimized crystal structure of Ag2SnPb2 from Alexandria. Energies are from PBE.

The space group is P4/mbm (No. 127) and the conventional cell measures 7.5797, 7.5797 and 4.4385 Å, with angles of 90.00, 90.00 and 90.00 degrees. The distinct sites, in fractional coordinates, are Ag at (0.1319, 0.3681, 0.0000), Sn at (0.0000, 0.0000, 0.0000) and Pb at (0.1690, 0.6690, 0.5000).

As for the total moment: 0.00 μB/f.u. The calculation puts the energy relative to the elements at 0.4 eV/f.u. Its crystal system is tetragonal. For the density of states at the Fermi level, the calculation gives 0.531 states/eV/atom. The calculated volume comes out at 25.50 Å³ per atom. The energy above the most stable polymorph in this dataset comes out at 8 meV/atom. Its electronic total energy is -3.339 eV/atom.

---

Copy entry 10 word for word.
Here is an optimized crystal structure of Y4Ir2Rh from Alexandria. Energies are from PBE.

The space group is R-3m (No. 166, hexagonal axes) and the conventional cell measures 4.8276, 4.8276 and 23.7366 Å, with angles of 90.00, 90.00 and 120.00 degrees. The distinct sites, in fractional coordinates, are Y at (0.0000, 0.0000, 0.1235), Y at (0.0000, 0.0000, 0.3742), Ir at (0.0000, 0.0000, 0.2498) and Rh at (0.0000, 0.0000, 0.5000).

As for the total moment: 0.00 μB/f.u. The calculation puts the energy relative to the elements at -5.6 eV/f.u. Its crystal system is trigonal. For the density of states at the Fermi level, the calculation gives 0.505 states/eV/atom. The calculated volume comes out at 22.81 Å³ per atom. Its electronic total energy is -8.081 eV/atom.

---

Q: Which formula does entry 3 have?
A: ScZn2Re

---

Q: Which of these has the highest electronic total energy?
A: Ag12H3Se5

---

Q: Which of these has the highest total moment?
A: GdZn2Cu